<one>
Rb2InBr4 | GGA-PBE | optimized geometry

abc: 9.7008 9.7008 9.7008
angles: 146.05 146.05 48.78
Fractional positions:
Rb: 0.1410 0.1410 0.0000
Rb: 0.8590 0.8590 0.0000
In: 0.5000 0.5000 0.0000
Br: 0.0000 0.5000 0.5000
Br: 0.3339 0.3339 0.0000
Br: 0.5000 0.0000 0.5000
Br: 0.6661 0.6661 0.0000

space-group type	I4/mmm, No. 139
spin magnetization	0.0	μB per formula unit
crystal system	tetragonal
DOS at the Fermi energy	0.31	states/eV per atom
density	3.55	g/cm3


<two>
Rb2InBr4 | GGA-PBE | optimized geometry

abc: 7.1187 7.1187 9.1921
angles: 114.35 114.35 38.31
Fractional positions:
Rb: 0.1626 0.1626 0.1743
Rb: 0.8374 0.8374 0.8257
In: 0.5000 0.5000 0.5000
Br: 0.1474 0.1474 0.5481
Br: 0.4366 0.4366 0.1520
Br: 0.5634 0.5634 0.8480
Br: 0.8526 0.8526 0.4519

space-group type	C2/m, No. 12
spin magnetization	0.0	μB per formula unit
crystal system	monoclinic
DOS at the Fermi energy	0.29	states/eV per atom
density	3.87	g/cm3


What should be chosen as the least stable of them? Choose <two>.


<one>
Rb2InBr5 | GGA-PBE | optimized geometry

abc: 7.5898 7.5898 7.5898
angles: 114.62 114.62 99.61
Fractional positions:
Rb: 0.0000 0.5000 0.5000
Rb: 0.5000 0.0000 0.5000
In: 0.2921 0.2921 0.0000
Br: 0.0117 0.0117 0.5487
Br: 0.0117 0.4630 0.0000
Br: 0.4630 0.0117 0.0000
Br: 0.4630 0.4630 0.4513
Br: 0.5532 0.5532 0.0000

space-group type	I4mm, No. 107
spin magnetization	0.0	μB per formula unit
crystal system	tetragonal
DOS at the Fermi energy	0.00	states/eV per atom
density	3.46	g/cm3


<two>
Rb2InBr5 | GGA-PBE | optimized geometry

abc: 13.2955 14.1581 10.0448
angles: 90.00 90.00 90.00
Fractional positions:
Rb: 0.0000 0.0000 0.2268
Rb: 0.0000 0.0000 0.7732
Rb: 0.1393 0.3393 0.0000
Rb: 0.3607 0.8393 0.5000
Rb: 0.5000 0.5000 0.2732
Rb: 0.5000 0.5000 0.7268
Rb: 0.6393 0.1607 0.5000
Rb: 0.8607 0.6607 0.0000
In: 0.2422 0.7311 0.0000
In: 0.2578 0.2311 0.5000
In: 0.7422 0.7689 0.5000
In: 0.7578 0.2689 0.0000
Br: 0.0815 0.1592 0.5000
Br: 0.1165 0.5935 0.0000
Br: 0.1233 0.1161 0.0000
Br: 0.2134 0.8323 0.2061
Br: 0.2134 0.8323 0.7939
Br: 0.2866 0.3323 0.2939
Br: 0.2866 0.3323 0.7061
Br: 0.3767 0.6161 0.5000
Br: 0.3835 0.0935 0.5000
Br: 0.4185 0.6592 0.0000
Br: 0.5815 0.3408 0.0000
Br: 0.6165 0.9065 0.5000
Br: 0.6233 0.3839 0.5000
Br: 0.7134 0.6677 0.2939
Br: 0.7134 0.6677 0.7061
Br: 0.7866 0.1677 0.2061
Br: 0.7866 0.1677 0.7939
Br: 0.8767 0.8839 0.0000
Br: 0.8835 0.4065 0.0000
Br: 0.9185 0.8408 0.5000

space-group type	Pnnm, No. 58
spin magnetization	0.1	μB per formula unit
crystal system	orthorhombic
DOS at the Fermi energy	0.00	states/eV per atom
density	2.41	g/cm3


What should be chosen as the least stable of them? Choose <two>.


<one>
RbIn2Br | GGA-PBE | optimized geometry

abc: 5.9521 5.9521 5.9521
angles: 60.00 60.00 60.00
Fractional positions:
Rb: 0.0000 0.0000 0.0000
In: 0.2500 0.2500 0.2500
In: 0.7500 0.7500 0.7500
Br: 0.5000 0.5000 0.5000

space-group type	Fm-3m, No. 225
spin magnetization	0.0	μB per formula unit
crystal system	cubic
DOS at the Fermi energy	1.33	states/eV per atom
density	4.40	g/cm3


<two>
RbIn2Br | GGA-PBE | optimized geometry

abc: 14.8662 14.8662 14.8662
angles: 162.21 162.21 25.26
Fractional positions:
Rb: 0.0000 0.0000 0.0000
Rb: 0.7500 0.2500 0.5000
In: 0.1376 0.6250 0.0126
In: 0.3750 0.3876 0.5126
In: 0.6124 0.1250 0.9874
In: 0.8750 0.8624 0.4874
Br: 0.2500 0.7500 0.5000
Br: 0.5000 0.5000 0.0000

space-group type	I-42d, No. 122
spin magnetization	0.0	μB per formula unit
crystal system	tetragonal
DOS at the Fermi energy	0.49	states/eV per atom
density	4.28	g/cm3


What should be chosen as the least stable of them? Choose <one>.


<one>
RbInTeBr2 | GGA-PBE | optimized geometry

abc: 5.5329 5.5329 10.4709
angles: 90.00 90.00 90.00
Fractional positions:
Rb: 0.0000 0.0000 0.0000
In: 0.0000 0.0000 0.5000
Te: 0.5000 0.5000 0.0000
Br: 0.0000 0.5000 0.5000
Br: 0.5000 0.0000 0.5000

space-group type	P4/mmm, No. 123
spin magnetization	1.1	μB per formula unit
crystal system	tetragonal
DOS at the Fermi energy	0.73	states/eV per atom
density	2.53	g/cm3


<two>
RbInTeBr2 | GGA-PBE | optimized geometry

abc: 5.7324 5.7324 5.7122
angles: 90.00 90.00 90.00
Fractional positions:
Rb: 0.0000 0.0000 0.0000
In: 0.5000 0.5000 0.5000
Te: 0.5000 0.5000 0.0000
Br: 0.0000 0.5000 0.5000
Br: 0.5000 0.0000 0.5000

space-group type	P4/mmm, No. 123
spin magnetization	0.2	μB per formula unit
crystal system	tetragonal
DOS at the Fermi energy	1.08	states/eV per atom
density	4.31	g/cm3


What should be chosen as the least stable of them? Choose <one>.


<one>
Rb2TiInBr6 | GGA-PBE | optimized geometry

abc: 7.8409 8.2125 13.7632
angles: 90.00 124.73 90.00
Fractional positions:
Rb: 0.2249 0.0710 0.2476
Rb: 0.2249 0.4290 0.7476
Rb: 0.7751 0.5710 0.2524
Rb: 0.7751 0.9290 0.7524
Ti: 0.0000 0.0000 0.5000
Ti: 0.0000 0.5000 0.0000
In: 0.5000 0.0000 0.0000
In: 0.5000 0.5000 0.5000
Br: 0.1251 0.2308 0.9563
Br: 0.1251 0.2692 0.4563
Br: 0.2314 0.6726 0.9573
Br: 0.2314 0.8274 0.4573
Br: 0.3087 0.0173 0.7224
Br: 0.3087 0.4827 0.2224
Br: 0.6913 0.5173 0.7776
Br: 0.6913 0.9827 0.2776
Br: 0.7686 0.1726 0.5427
Br: 0.7686 0.3274 0.0427
Br: 0.8749 0.7308 0.5437
Br: 0.8749 0.7692 0.0437

space-group type	P2_1/c, No. 14
spin magnetization	1.0	μB per formula unit
crystal system	monoclinic
DOS at the Fermi energy	0.69	states/eV per atom
density	3.71	g/cm3


<two>
Rb2TiInBr6 | GGA-PBE | optimized geometry

abc: 8.0851 8.0851 8.0851
angles: 60.00 60.00 60.00
Fractional positions:
Rb: 0.2500 0.2500 0.2500
Rb: 0.7500 0.7500 0.7500
Ti: 0.0000 0.0000 0.0000
In: 0.5000 0.5000 0.5000
Br: 0.2273 0.2273 0.7727
Br: 0.2273 0.7727 0.2273
Br: 0.2273 0.7727 0.7727
Br: 0.7727 0.2273 0.2273
Br: 0.7727 0.2273 0.7727
Br: 0.7727 0.7727 0.2273

space-group type	Fm-3m, No. 225
spin magnetization	1.0	μB per formula unit
crystal system	cubic
DOS at the Fermi energy	1.08	states/eV per atom
density	3.61	g/cm3


What should be chosen as the least stable of them? Choose <two>.


<one>
Rb2ZrInBr6 | GGA-PBE | optimized geometry

abc: 16.1712 16.1712 16.1712
angles: 28.22 28.22 28.22
Fractional positions:
Rb: 0.1402 0.1402 0.1402
Rb: 0.3094 0.3094 0.3094
Rb: 0.6906 0.6906 0.6906
Rb: 0.8598 0.8598 0.8598
Zr: 0.0000 0.0000 0.0000
Zr: 0.5000 0.5000 0.5000
In: 0.4194 0.4194 0.4194
In: 0.5806 0.5806 0.5806
Br: 0.1334 0.6339 0.6339
Br: 0.1951 0.1951 0.7112
Br: 0.1951 0.7112 0.1951
Br: 0.2888 0.8049 0.8049
Br: 0.3661 0.3661 0.8666
Br: 0.3661 0.8666 0.3661
Br: 0.6339 0.1334 0.6339
Br: 0.6339 0.6339 0.1334
Br: 0.7112 0.1951 0.1951
Br: 0.8049 0.2888 0.8049
Br: 0.8049 0.8049 0.2888
Br: 0.8666 0.3661 0.3661

space-group type	R-3m, No. 166
spin magnetization	1.0	μB per formula unit
crystal system	trigonal
DOS at the Fermi energy	0.52	states/eV per atom
density	3.41	g/cm3


<two>
Rb2ZrInBr6 | GGA-PBE | optimized geometry

abc: 8.2754 8.2754 8.2754
angles: 60.00 60.00 60.00
Fractional positions:
Rb: 0.2500 0.2500 0.2500
Rb: 0.7500 0.7500 0.7500
Zr: 0.0000 0.0000 0.0000
In: 0.5000 0.5000 0.5000
Br: 0.2316 0.2316 0.7684
Br: 0.2316 0.7684 0.2316
Br: 0.2316 0.7684 0.7684
Br: 0.7684 0.2316 0.2316
Br: 0.7684 0.2316 0.7684
Br: 0.7684 0.7684 0.2316

space-group type	Fm-3m, No. 225
spin magnetization	1.0	μB per formula unit
crystal system	cubic
DOS at the Fermi energy	0.99	states/eV per atom
density	3.55	g/cm3


What should be chosen as the least stable of them? Choose <two>.


<one>
InReSeBr2 | GGA-PBE | optimized geometry

abc: 5.3810 5.3810 4.7346
angles: 90.00 90.00 90.00
Fractional positions:
In: 0.0000 0.0000 0.0000
Re: 0.5000 0.5000 0.5000
Se: 0.5000 0.5000 0.0000
Br: 0.0000 0.5000 0.5000
Br: 0.5000 0.0000 0.5000

space-group type	P4/mmm, No. 123
spin magnetization	0.7	μB per formula unit
crystal system	tetragonal
DOS at the Fermi energy	0.43	states/eV per atom
density	6.54	g/cm3


<two>
InReSeBr2 | GGA-PBE | optimized geometry

abc: 5.4275 5.4275 5.3763
angles: 90.00 90.00 90.00
Fractional positions:
In: 0.0000 0.0000 0.0000
Re: 0.5000 0.5000 0.5000
Se: 0.0000 0.0000 0.5000
Br: 0.0000 0.5000 0.0000
Br: 0.5000 0.0000 0.0000

space-group type	P4/mmm, No. 123
spin magnetization	5.7	μB per formula unit
crystal system	tetragonal
DOS at the Fermi energy	0.28	states/eV per atom
density	5.66	g/cm3


What should be chosen as the least stable of them? Choose <two>.


<one>
In2RhBr | GGA-PBE | optimized geometry

abc: 8.3384 8.3384 3.6127
angles: 90.04 90.04 23.16
Fractional positions:
In: 0.0000 0.0000 0.0000
In: 0.2026 0.2026 0.4957
Rh: 0.5712 0.5712 0.5003
Br: 0.8281 0.8281 0.9978

space-group type	Cm, No. 8
spin magnetization	0.0	μB per formula unit
crystal system	monoclinic
DOS at the Fermi energy	0.29	states/eV per atom
density	6.93	g/cm3


<two>
In2RhBr | GGA-PBE | optimized geometry

abc: 3.7847 3.7519 7.7136
angles: 90.00 101.93 90.00
Fractional positions:
In: 0.0000 0.0000 0.0000
In: 0.3509 0.5000 0.6437
Rh: 0.8570 0.0000 0.6579
Br: 0.5831 0.5000 0.2045

space-group type	Pm, No. 6
spin magnetization	0.0	μB per formula unit
crystal system	monoclinic
DOS at the Fermi energy	0.51	states/eV per atom
density	6.39	g/cm3


What should be chosen as the least stable of them? Choose <two>.